A plane-wave DFT calculation with meta-GGA SCAN was carried out for a PBEsol-optimized structure of CaVP4O12.

Computed properties:
Energy relative to the elements, uncorrected: -2.62 eV/atom
Crystal system: monoclinic
Fermi-level density of states: 0.00 states/eV/f.u.
Space-group type: No. 15

Cell: 7.5087 7.5087 9.8972 Å, 98.37 111.31 109.23°
Closest atoms and distances in Å follow each position.
Sites, in units of the cell vectors:
P 0.9909 0.3036 0.3041  4 O 1.48-1.61
O 0.0172 0.1719 0.9156  1 P 1.48
O 0.0476 0.7479 0.5545  2 P 1.60
P 0.1890 0.7248 0.4707  4 O 1.48-1.61
P 0.5005 0.3131 0.8041  4 O 1.48-1.61
O 0.9524 0.2521 0.4455  2 P 1.60
O 0.6074 0.7927 0.9271  1 P 1.52
P 0.8110 0.2752 0.5293  4 O 1.48-1.61
O 0.6344 0.3196 0.4271  1 P 1.52
O 0.5237 0.6493 0.3428  1 P 1.48
P 0.2459 0.2817 0.9707  4 O 1.48-1.61
O 0.2437 0.8984 0.4156  1 P 1.48
O 0.3926 0.2073 0.0729  1 P 1.52
O 0.7563 0.1016 0.5844  1 P 1.48
O 0.0244 0.5305 0.3280  2 P 1.61
O 0.1987 0.2942 0.3285  1 P 1.52
P 0.0091 0.6964 0.6959  4 O 1.48-1.61
O 0.8065 0.1809 0.1572  1 P 1.48
V 0.5000 0.5000 0.5000  6 O 2.07-2.13
P 0.4995 0.6869 0.1959  4 O 1.48-1.61
O 0.9828 0.8281 0.0844  1 P 1.48
O 0.4657 0.8702 0.1715  1 P 1.52
O 0.8013 0.7058 0.6715  1 P 1.52
O 0.4763 0.3507 0.6572  1 P 1.48
O 0.3066 0.5069 0.0545  2 P 1.60
O 0.3656 0.6804 0.5729  1 P 1.52
O 0.9756 0.4695 0.6720  2 P 1.61
O 0.6934 0.4931 0.9455  2 P 1.60
V 0.5000 0.0000 0.0000  6 O 2.07-2.13
O 0.1935 0.8191 0.8428  1 P 1.48
O 0.7025 0.6964 0.1720  2 P 1.61
Ca 0.6969 0.9469 0.7500  6 O 2.23-2.41
P 0.7541 0.7183 0.0293  4 O 1.48-1.61
O 0.2975 0.3036 0.8280  2 P 1.61
O 0.5343 0.1298 0.8285  1 P 1.52
Ca 0.3031 0.0531 0.2500  6 O 2.23-2.41

=====

A plane-wave DFT calculation with meta-GGA SCAN was carried out for a PBEsol-optimized structure of KTa2Re.

Computed properties:
Crystal system: monoclinic
ΔH_f (0 K): 0.666 eV per atom
Fermi-level density of states: 3.28 states/eV/f.u.
Energy above the lowest structure with this stoichiometry: 0.0 meV per atom
Space-group type: No. 10

Cell: 2.8377 4.1901 8.0473 Å, 90.00 96.49 90.00°
Closest atoms and distances in Å follow each position.
Sites, in units of the cell vectors:
Re 0.0000 0.5000 0.5000  4 Ta 2.61, 2 Re 2.84
Ta 0.3017 0.0000 0.3494  3 Ta 2.55-2.84, 2 Re 2.61
Ta 0.6983 0.0000 0.6506  3 Ta 2.55-2.84, 2 Re 2.61
K 0.5000 0.5000 0.0000  2 K 2.84

=====

A plane-wave DFT calculation with meta-GGA SCAN was carried out for a PBEsol-optimized structure of Li2Nd2Ge3.

Computed properties:
Crystal system: orthorhombic
ΔH_f (0 K): -0.773 eV per atom
Fermi-level density of states: 1.08 states/eV/f.u.
Space-group type: No. 63

Cell: 4.3913 6.8488 9.5216 Å, 90.00 103.33 90.00°
Closest atoms and distances in Å follow each position.
Sites, in units of the cell vectors:
Li 0.1906 0.5618 0.3811  4 Ge 2.54-2.70, 1 Li 2.58
Ge 0.9379 0.9332 0.8758  2 Ge 2.48-2.51, 1 Li 2.54
Nd 0.5515 0.7500 0.1030  9 Ge 3.09-3.29
Nd 0.4485 0.2500 0.8970  9 Ge 3.09-3.29
Nd 0.3424 0.7500 0.6847  6 Ge 3.09-3.15, 6 Li 3.09-3.12
Ge 0.9379 0.5668 0.8758  2 Ge 2.48-2.51, 1 Li 2.54
Ge 0.2799 0.2500 0.5598  6 Li 2.60-2.70
Li 0.8094 0.0618 0.6189  4 Ge 2.54-2.70, 1 Li 2.58
Ge 0.0621 0.0668 0.1242  2 Ge 2.48-2.51, 1 Li 2.54
Ge 0.7201 0.7500 0.4402  6 Li 2.60-2.70
Li 0.1906 0.9382 0.3811  4 Ge 2.54-2.70, 1 Li 2.58
Li 0.8094 0.4382 0.6189  4 Ge 2.54-2.70, 1 Li 2.58
Nd 0.6576 0.2500 0.3153  6 Ge 3.09-3.15, 6 Li 3.09-3.12
Ge 0.0621 0.4332 0.1242  2 Ge 2.48-2.51, 1 Li 2.54

=====

A plane-wave DFT calculation with meta-GGA SCAN was carried out for a PBEsol-optimized structure of Re2TeIrW.

Computed properties:
Energy relative to the elements, uncorrected: 2.51 eV/atom
Crystal system: tetragonal
Fermi-level density of states: 4.15 states/eV/f.u.
Space-group type: No. 123

Cell: 4.6380 4.6380 4.9957 Å, 90.00 90.00 90.00°
Closest atoms and distances in Å follow each position.
Sites, in units of the cell vectors:
Re 0.0000 0.5000 0.0000  2 Ir 2.32
Ir 0.0000 0.0000 0.0000  4 Re 2.32, 2 Te 2.50
Te 0.0000 0.0000 0.5000  2 Ir 2.50
Re 0.5000 0.0000 0.0000  2 Ir 2.32
W 0.5000 0.5000 0.5000  4 Te 3.28, 8 Re 3.41

=====

A plane-wave DFT calculation with meta-GGA SCAN was carried out for a PBEsol-optimized structure of CaMg2Tc.

Computed properties:
Crystal system: tetragonal
ΔH_f (0 K): 0.438 eV per atom
Fermi-level density of states: 2.00 states/eV/f.u.
Energy above the lowest structure with this stoichiometry: 138.3 meV per atom
Space-group type: No. 123

Cell: 4.0406 4.4619 4.4619 Å, 90.00 90.00 90.00°
Closest atoms and distances in Å follow each position.
Sites, in units of the cell vectors:
Tc 0.5000 0.5000 0.5000  8 Mg 3.01, 4 Ca 3.16
Mg 0.0000 0.0000 0.5000  4 Tc 3.01, 4 Ca 3.01, 4 Mg 3.16
Mg 0.0000 0.5000 0.0000  4 Ca 3.01, 4 Tc 3.01, 4 Mg 3.16
Ca 0.5000 0.0000 0.0000  8 Mg 3.01, 4 Tc 3.16

=====

A plane-wave DFT calculation with meta-GGA SCAN was carried out for a PBEsol-optimized structure of NaVZnP2O9.

Computed properties:
Energy relative to the elements, uncorrected: -2.35 eV/atom
Crystal system: monoclinic
Space-group type: No. 14

Cell: 8.6792 8.8920 8.9030 Å, 90.00 92.61 90.00°
Closest atoms and distances in Å follow each position.
Sites, in units of the cell vectors:
Na 0.1891 0.0355 0.5350  5 O 2.25-2.49
O 0.1754 0.4813 0.7347  1 P 1.58
O 0.0322 0.6451 0.1165  1 P 1.56
O 0.6152 0.3457 0.3961  1 P 1.55
Zn 0.0475 0.6325 0.6077  3 O 1.95-2.05
O 0.6242 0.3541 0.0936  1 P 1.54
P 0.4853 0.7512 0.5017  4 O 1.54-1.55
O 0.9302 0.4143 0.6039  1 P 1.56
O 0.3960 0.4890 0.2275  1 V 1.59
O 0.4169 0.1495 0.0978  1 P 1.55
O 0.3968 0.3461 0.9023  1 P 1.55
O 0.5831 0.6495 0.4022  1 P 1.55
P 0.9541 0.6444 0.2704  4 O 1.52-1.58
O 0.6040 0.5110 0.7725  1 V 1.59
O 0.4169 0.3505 0.5978  1 P 1.55
Zn 0.0475 0.8675 0.1077  3 O 1.95-2.05
Zn 0.9525 0.1325 0.8923  3 O 1.95-2.05
O 0.8981 0.8041 0.2930  1 P 1.52
O 0.3848 0.8457 0.1039  1 P 1.55
O 0.6040 0.9890 0.2725  1 V 1.59
O 0.0322 0.8549 0.6165  1 P 1.56
Na 0.8109 0.9645 0.4650  5 O 2.25-2.49
O 0.5831 0.8505 0.9022  1 P 1.55
O 0.3848 0.6543 0.6039  1 P 1.55
O 0.1754 0.0187 0.2347  1 P 1.58
V 0.4219 0.0015 0.2485  1 O 1.59
P 0.4853 0.7488 0.0017  4 O 1.54-1.55
O 0.8246 0.5187 0.2653  1 P 1.58
O 0.0698 0.9143 0.8961  1 P 1.56
P 0.5147 0.2512 0.9983  4 O 1.54-1.55
O 0.3968 0.1539 0.4023  1 P 1.55
O 0.0698 0.5857 0.3961  1 P 1.56
O 0.9678 0.3549 0.8835  1 P 1.56
V 0.5781 0.9985 0.7515  1 O 1.59
O 0.3960 0.0110 0.7275  1 V 1.59
O 0.6032 0.6539 0.0977  1 P 1.55
V 0.5781 0.5015 0.2515  1 O 1.59
P 0.5147 0.2488 0.4983  4 O 1.54-1.55
P 0.9541 0.8556 0.7704  4 O 1.52-1.58
O 0.6152 0.1543 0.8961  1 P 1.55
O 0.6032 0.8461 0.5977  1 P 1.55
P 0.0459 0.3556 0.7296  4 O 1.52-1.58
Na 0.8109 0.5355 0.9650  5 O 2.25-2.49
P 0.0459 0.1444 0.2296  4 O 1.52-1.58
Na 0.1891 0.4645 0.0350  5 O 2.25-2.49
O 0.1019 0.3041 0.2070  1 P 1.52
O 0.1019 0.1959 0.7070  1 P 1.52
O 0.3758 0.8541 0.4064  1 P 1.54
Zn 0.9525 0.3675 0.3923  3 O 1.95-2.05
O 0.6242 0.1459 0.5936  1 P 1.54
O 0.9302 0.0857 0.1039  1 P 1.56
O 0.9678 0.1451 0.3835  1 P 1.56
O 0.8981 0.6959 0.7930  1 P 1.52
V 0.4219 0.4985 0.7485  1 O 1.59
O 0.8246 0.9813 0.7653  1 P 1.58
O 0.3758 0.6459 0.9064  1 P 1.54

=====

A plane-wave DFT calculation with meta-GGA SCAN was carried out for a PBEsol-optimized structure of TmGaAg.

Computed properties:
Crystal system: monoclinic
ΔH_f (0 K): -0.568 eV per atom
Fermi-level density of states: 1.26 states/eV/f.u.
Space-group type: No. 12

Cell: 4.4376 5.5867 5.6555 Å, 75.99 66.90 66.60°
Closest atoms and distances in Å follow each position.
Sites, in units of the cell vectors:
Tm 0.5353 0.2208 0.7087  6 Ag 3.04-3.19, 6 Ga 3.07-3.19
Tm 0.4647 0.7792 0.2913  6 Ag 3.04-3.19, 6 Ga 3.07-3.19
Ga 0.1592 0.7991 0.8824  1 Ga 2.50, 2 Ag 2.57
Ag 0.1727 0.3745 0.2800  3 Ga 2.57-2.85, 1 Ag 2.74
Ga 0.8408 0.2009 0.1176  1 Ga 2.50, 2 Ag 2.57
Ag 0.8273 0.6255 0.7200  3 Ga 2.57-2.85, 1 Ag 2.74

=====

A plane-wave DFT calculation with meta-GGA SCAN was carried out for a PBEsol-optimized structure of LaSb3W.

Computed properties:
Energy relative to the elements, uncorrected: 1.85 eV/atom
Crystal system: cubic
Fermi-level density of states: 5.35 states/eV/f.u.
Space-group type: No. 221

Cell: 5.8059 5.8059 5.8059 Å, 90.00 90.00 90.00°
Closest atoms and distances in Å follow each position.
Sites, in units of the cell vectors:
La 0.0000 0.0000 0.0000  6 Sb 2.90
W 0.5000 0.5000 0.5000  12 Sb 4.11
Sb 0.0000 0.0000 0.5000  2 La 2.90
Sb 0.0000 0.5000 0.0000  2 La 2.90
Sb 0.5000 0.0000 0.0000  2 La 2.90

=====

A plane-wave DFT calculation with meta-GGA SCAN was carried out for a PBEsol-optimized structure of BiPb2Au2.

Computed properties:
Crystal system: tetragonal
ΔH_f (0 K): -0.030 eV per atom
Fermi-level density of states: 1.95 states/eV/f.u.
Space-group type: No. 127

Cell: 4.2212 7.6622 7.6622 Å, 90.00 90.00 90.00°
Closest atoms and distances in Å follow each position.
Sites, in units of the cell vectors:
Pb 0.5000 0.3306 0.1694  6 Au 3.04-3.13
Pb 0.5000 0.1694 0.6694  6 Au 3.04-3.13
Au 0.0000 0.6293 0.1293  1 Au 2.80, 2 Bi 3.01, 6 Pb 3.04-3.13
Bi 0.0000 0.5000 0.5000  4 Au 3.01
Au 0.0000 0.1293 0.3707  1 Au 2.80, 2 Bi 3.01, 6 Pb 3.04-3.13
Pb 0.5000 0.8306 0.3306  6 Au 3.04-3.13
Pb 0.5000 0.6694 0.8306  6 Au 3.04-3.13
Bi 0.0000 0.0000 0.0000  4 Au 3.01
Au 0.0000 0.3707 0.8707  1 Au 2.80, 2 Bi 3.01, 6 Pb 3.04-3.13
Au 0.0000 0.8707 0.6293  1 Au 2.80, 2 Bi 3.01, 6 Pb 3.04-3.13

=====

A plane-wave DFT calculation with meta-GGA SCAN was carried out for a PBEsol-optimized structure of TaTlZn2.

Computed properties:
Crystal system: tetragonal
ΔH_f (0 K): 0.448 eV per atom
Fermi-level density of states: 2.56 states/eV/f.u.
Energy above the lowest structure with this stoichiometry: 89.6 meV per atom
Space-group type: No. 139

Cell: 3.9774 3.9774 5.2403 Å, 112.30 112.30 90.00°
Closest atoms and distances in Å follow each position.
Sites, in units of the cell vectors:
Ta 0.5000 0.5000 0.0000  4 Tl 2.81, 8 Zn 2.97
Zn 0.2500 0.7500 0.5000  4 Zn 2.81, 4 Tl 2.97, 4 Ta 2.97
Zn 0.7500 0.2500 0.5000  4 Zn 2.81, 4 Ta 2.97, 4 Tl 2.97
Tl 0.0000 0.0000 0.0000  4 Ta 2.81, 8 Zn 2.97

=====

A plane-wave DFT calculation with meta-GGA SCAN was carried out for a PBEsol-optimized structure of TeP2Ir.

Computed properties:
Energy relative to the elements, uncorrected: -0.02 eV/atom
Crystal system: monoclinic
Fermi-level density of states: 1.14 states/eV/f.u.
Space-group type: No. 6

Cell: 3.8492 4.0810 5.1434 Å, 95.47 90.00 90.00°
Closest atoms and distances in Å follow each position.
Sites, in units of the cell vectors:
Ir 0.5000 0.2440 0.8371  4 P 2.29-2.42
P 0.0000 0.0850 0.0735  2 P 2.35, 2 Ir 2.40, 1 Te 2.57
P 0.5000 0.7531 0.0660  2 Ir 2.29-2.42, 2 P 2.35
Te 0.0000 0.4179 0.5234  1 P 2.57, 2 Ir 2.65

=====

A plane-wave DFT calculation with meta-GGA SCAN was carried out for a PBEsol-optimized structure of FeCo4.

Computed properties:
Crystal system: monoclinic
ΔH_f (0 K): -0.016 eV per atom
Fermi-level density of states: 4.11 states/eV/f.u.
Energy above the lowest structure with this stoichiometry: 67.6 meV per atom
Space-group type: No. 12

Cell: 2.4114 3.9582 5.9994 Å, 109.26 100.46 90.00°
Closest atoms and distances in Å follow each position.
Sites, in units of the cell vectors:
Co 0.1122 0.3004 0.6007  8 Co 2.30-2.54, 1 Fe 2.33
Co 0.4000 0.1037 0.2073  2 Fe 2.41, 9 Co 2.41-2.67
Co 0.8878 0.6996 0.3993  8 Co 2.30-2.54, 1 Fe 2.33
Fe 0.0000 0.5000 0.0000  6 Co 2.33-2.41, 2 Fe 2.41
Co 0.6000 0.8963 0.7927  2 Fe 2.41, 9 Co 2.41-2.67

=====

Values of electronic total energy, in order: -10.59 -52.48 -22.09 -61.54 -13.23 -10.36 -33.75 -43.06 -73.72 -41.05 -32.30 -17.49, all in eV/atom.